Record 1
AcNd2Ho4Er | PBE | relaxed

Unit cell a=9.633 b=9.633 c=6.905 alpha=110.99 beta=110.99 gamma=88.50
Element x y z (fractional)
1 Ac 0.000 0.500 0.000
2 Ac 0.500 0.000 0.500
3 Nd 0.000 0.000 0.000
4 Nd 0.000 0.000 0.500
5 Nd 0.000 0.500 0.500
6 Nd 0.500 0.000 0.000
7 Ho 0.248 0.264 0.507
8 Ho 0.256 0.744 0.512
9 Ho 0.256 0.744 0.988
10 Ho 0.264 0.248 0.007
11 Ho 0.736 0.752 0.993
12 Ho 0.744 0.256 0.012
13 Ho 0.744 0.256 0.488
14 Ho 0.752 0.736 0.493
15 Er 0.500 0.500 0.000
16 Er 0.500 0.500 0.500

Results
theoretical density = 8.039 g/cm3
formation enthalpy at 0 K = 0.43 eV per atom
Fermi-level density of states = 37.38 states/eV per cell
crystal system = monoclinic

---

Record 2
Tl2SF6 | PBE | relaxed

Unit cell a=5.991 b=5.991 c=5.005 alpha=90.06 beta=90.06 gamma=60.01
Element x y z (fractional)
1 Tl 0.167 0.167 0.298
2 Tl 0.833 0.833 0.702
3 S 0.500 0.500 0.000
4 F 0.200 0.650 0.210
5 F 0.350 0.350 0.790
6 F 0.350 0.800 0.790
7 F 0.650 0.200 0.210
8 F 0.650 0.650 0.210
9 F 0.800 0.350 0.790

Results
formation energy from raw total energies = -1.626 eV/atom
offset from the most stable computed form = 5 meV per atom
theoretical density = 5.921 g/cm3
Fermi-level density of states = 0.00 states/eV per cell
crystal system = monoclinic

---

Record 3
Ho3InS | PBE | relaxed

Unit cell a=8.959 b=3.892 c=14.765 alpha=90.00 beta=90.00 gamma=90.00
Element x y z (fractional)
1 Ho 0.032 0.250 0.112
2 Ho 0.166 0.250 0.509
3 Ho 0.210 0.750 0.284
4 Ho 0.290 0.250 0.784
5 Ho 0.334 0.750 0.009
6 Ho 0.468 0.750 0.612
7 Ho 0.532 0.250 0.388
8 Ho 0.666 0.250 0.991
9 Ho 0.710 0.750 0.216
10 Ho 0.790 0.250 0.716
11 Ho 0.834 0.750 0.491
12 Ho 0.968 0.750 0.888
13 In 0.068 0.750 0.671
14 In 0.432 0.250 0.171
15 In 0.568 0.750 0.829
16 In 0.932 0.250 0.329
17 S 0.157 0.250 0.945
18 S 0.343 0.750 0.445
19 S 0.657 0.250 0.555
20 S 0.843 0.750 0.055

Results
formation energy from raw total energies = -1.011 eV/atom
offset from the most stable computed form = 0 meV per atom
theoretical density = 8.277 g/cm3
Fermi-level density of states = 13.97 states/eV per cell
crystal system = orthorhombic

---

Record 4
Te2Mo2Se | PBE | relaxed

Unit cell a=8.983 b=8.983 c=8.983 alpha=156.02 beta=156.02 gamma=34.16
Element x y z (fractional)
1 Te 0.127 0.127 0.000
2 Te 0.873 0.873 0.000
3 Mo 0.250 0.750 0.500
4 Mo 0.750 0.250 0.500
5 Se 0.500 0.500 0.000

Results
formation energy from raw total energies = 0.200 eV/atom
offset from the most stable computed form = 0 meV per atom
theoretical density = 7.306 g/cm3
Fermi-level density of states = 4.34 states/eV per cell
crystal system = tetragonal

---

Look up the Fermi-level density of states of the first one.
37.38 states/eV per cell